1.
A plane-wave DFT calculation with PBE-GGA was carried out for crystalline BeSnB2 at its relaxed geometry.

- Formation enthalpy at 0 K: 198.8 meV/atom
- Relative energy among the computed polymorphs: 69.7 meV/atom

Geometry as POSCAR:
```
BeSnB2
1.0
3.5049 0.0000 0.0000
-1.7425 4.8343 0.0000
-1.6972 -1.0284 7.2080
Be Sn B
2 2 4
Cartesian
-0.8474 1.2054 3.5778 Be
0.9126 2.6005 3.6302 Be
0.8639 1.0990 0.6586 Sn
-0.7987 2.7069 6.5494 Sn
0.0108 -0.5140 3.6056 B
-0.8394 3.0339 4.2916 B
0.9047 0.7720 2.9164 B
0.0544 4.3199 3.6024 B
```

=====

2.
A plane-wave DFT calculation with PBE-GGA was carried out for crystalline InAg2Te at its relaxed geometry.

- Relative energy among the computed polymorphs: 78.8 meV/atom

Geometry as POSCAR:
```
InAg2Te
1.0
-2.1588 2.1588 4.9711
2.1588 -2.1588 4.9711
2.1588 2.1588 -4.9711
In Ag Te
1 2 1
Cartesian
0.0000 0.0000 0.0000 In
0.0000 0.0000 4.9711 Ag
0.0000 2.1588 2.4855 Ag
2.1588 0.0000 2.4855 Te
```

=====

3.
A plane-wave DFT calculation with PBE-GGA was carried out for crystalline Sm4MgAu at its relaxed geometry.

- Formation enthalpy at 0 K: 177.7 meV/atom

Geometry as POSCAR:
```
Sm4MgAu
1.0
-4.6486 4.6486 5.0836
4.6486 -4.6486 5.0836
4.6486 4.6486 -5.0836
Sm Mg Au
8 2 2
Cartesian
4.6486 1.6715 -0.3472 Sm
2.9771 4.6486 -2.8890 Sm
1.6715 0.0000 2.1946 Sm
0.0000 2.8879 0.0000 Sm
0.0000 6.4093 0.0000 Sm
2.8879 4.6486 2.5418 Sm
1.7607 0.0000 7.6254 Sm
0.0000 2.9771 4.7364 Sm
4.6486 0.0000 2.4027 Mg
0.0000 0.0000 4.9446 Mg
0.0000 4.6486 2.3505 Au
0.0000 0.0000 9.9760 Au
```

=====

4.
A plane-wave DFT calculation with PBE-GGA was carried out for crystalline Pm2PrIn2Ag2 at its relaxed geometry.

- Formation enthalpy at 0 K: -308.3 meV/atom

Geometry as POSCAR:
```
Pm2PrIn2Ag2
1.0
2.4622 1.4216 9.1381
-2.4622 1.4216 9.1381
0.0000 -2.8431 9.1381
Pm Pr In Ag
2 1 2 2
Cartesian
0.0000 0.0000 3.4667 Pm
0.0000 0.0000 23.9475 Pm
0.0000 0.0000 0.0000 Pr
0.0000 0.0000 7.1429 In
0.0000 0.0000 20.2713 In
0.0000 0.0000 10.9834 Ag
0.0000 0.0000 16.4308 Ag
```

=====

5.
A plane-wave DFT calculation with PBE-GGA was carried out for crystalline K2Na2H4Pt at its relaxed geometry.

Geometry as POSCAR:
```
K2Na2H4Pt
1.0
-3.3245 3.3245 4.1447
3.3245 -3.3245 4.1447
3.3245 3.3245 -4.1447
K Na H Pt
2 2 4 1
Cartesian
3.3245 0.0000 2.0723 K
0.0000 3.3245 2.0723 K
0.0000 0.0000 1.4215 Na
0.0000 0.0000 6.8678 Na
2.1359 2.1359 0.0000 H
1.1886 -1.1886 4.1447 H
-1.1886 1.1886 4.1447 H
1.1886 1.1886 4.1447 H
0.0000 0.0000 4.1447 Pt
```

=====

no.,calculated total energy (eV/cell)
1,-40.577
2,-11.235
3,-45.365
4,-27.618
5,-25.756